Compound: Th6TeAs3S2
Source: Alexandria via LeMat-Bulk
Functional: PBE
Structure: optimized geometry

a = 9.410 Å, b = 9.410 Å, c = 8.430 Å
α = 102.09°, β = 102.09°, γ = 26.03°
Positions (direct):
Th  0.007  0.007  0.271
Th  0.325  0.325  0.904
Th  0.331  0.331  0.420
Th  0.669  0.669  0.580
Th  0.675  0.675  0.096
Th  0.993  0.993  0.729
Te  0.500  0.500  0.000
As  0.160  0.160  0.833
As  0.500  0.500  0.500
As  0.840  0.840  0.167
S  0.170  0.170  0.336
S  0.830  0.830  0.664

## Properties
Its space-group type is C2/m, No. 12. For the total energy, the calculation gives -7.2786 eV per atom. The calculation puts the raw formation energy at -1.457 eV/atom.


Compound: Tl2TeAsS4
Source: Alexandria via LeMat-Bulk
Functional: PBE
Structure: optimized geometry

a = 8.097 Å, b = 8.097 Å, c = 7.935 Å
α = 116.74°, β = 116.74°, γ = 90.04°
Positions (direct):
Tl  0.000  0.000  0.000
Tl  0.000  0.000  0.500
Tl  0.000  0.500  0.000
Tl  0.500  0.000  0.500
Te  0.000  0.500  0.500
Te  0.500  0.000  0.000
As  0.500  0.500  0.000
As  0.500  0.500  0.500
S  0.249  0.708  0.492
S  0.282  0.311  0.562
S  0.292  0.751  0.008
S  0.311  0.282  0.062
S  0.689  0.718  0.938
S  0.708  0.249  0.992
S  0.718  0.689  0.438
S  0.751  0.292  0.508

## Properties
Its space-group type is C2/c, No. 15. For the total energy, the calculation gives -3.7098 eV per atom. The calculation puts the raw formation energy at -0.081 eV/atom.


Compound: Tm8Te3As3S
Source: Alexandria via LeMat-Bulk
Functional: PBE
Structure: optimized geometry

a = 8.349 Å, b = 8.349 Å, c = 8.349 Å
α = 58.45°, β = 58.45°, γ = 58.45°
Positions (direct):
Tm  0.238  0.238  0.238
Tm  0.242  0.738  0.738
Tm  0.262  0.262  0.758
Tm  0.262  0.758  0.262
Tm  0.738  0.242  0.738
Tm  0.738  0.738  0.242
Tm  0.758  0.262  0.262
Tm  0.762  0.762  0.762
Te  0.000  0.500  0.500
Te  0.500  0.000  0.500
Te  0.500  0.500  0.000
As  0.000  0.000  0.500
As  0.000  0.500  0.000
As  0.500  0.000  0.000
S  0.500  0.500  0.500

## Properties
Its space-group type is R-3m, No. 166. For the total energy, the calculation gives -5.5382 eV per atom. The calculation puts the raw formation energy at -1.320 eV/atom.


Compound: Tm4TeAs2S
Source: Alexandria via LeMat-Bulk
Functional: PBE
Structure: optimized geometry

a = 7.076 Å, b = 4.069 Å, c = 7.079 Å
α = 90.00°, β = 109.33°, γ = 90.00°
Positions (direct):
Tm  0.229  0.000  0.229
Tm  0.238  0.500  0.758
Tm  0.762  0.500  0.242
Tm  0.771  0.000  0.771
Te  0.500  0.500  0.500
As  0.000  0.000  0.500
As  0.000  0.500  0.000
S  0.500  0.000  0.000

## Properties
Its space-group type is P2/m, No. 10. For the total energy, the calculation gives -5.8480 eV per atom. The calculation puts the raw formation energy at -1.541 eV/atom.


Compound: Tm8Te4AsS3
Source: Alexandria via LeMat-Bulk
Functional: PBE
Structure: optimized geometry

a = 8.320 Å, b = 8.320 Å, c = 8.320 Å
α = 58.29°, β = 58.29°, γ = 58.29°
Positions (direct):
Tm  0.229  0.738  0.738
Tm  0.234  0.234  0.234
Tm  0.262  0.262  0.771
Tm  0.262  0.771  0.262
Tm  0.738  0.229  0.738
Tm  0.738  0.738  0.229
Tm  0.766  0.766  0.766
Tm  0.771  0.262  0.262
Te  0.000  0.000  0.000
Te  0.000  0.500  0.500
Te  0.500  0.000  0.500
Te  0.500  0.500  0.000
As  0.500  0.500  0.500
S  0.000  0.000  0.500
S  0.000  0.500  0.000
S  0.500  0.000  0.000

## Properties
Its space-group type is R-3m, No. 166. For the total energy, the calculation gives -5.6223 eV per atom. The calculation puts the raw formation energy at -1.537 eV/atom.


Compound: Tm6Te3AsS2
Source: Alexandria via LeMat-Bulk
Functional: PBE
Structure: optimized geometry

a = 7.023 Å, b = 7.023 Å, c = 7.299 Å
α = 99.25°, β = 99.25°, γ = 119.95°
Positions (direct):
Tm  0.092  0.431  0.794
Tm  0.228  0.228  0.204
Tm  0.431  0.092  0.794
Tm  0.569  0.908  0.206
Tm  0.772  0.772  0.796
Tm  0.908  0.569  0.206
Te  0.000  0.000  0.500
Te  0.335  0.665  0.500
Te  0.665  0.335  0.500
As  0.500  0.500  0.000
S  0.167  0.833  0.000
S  0.833  0.167  0.000

## Properties
Its space-group type is C2/m, No. 12. For the total energy, the calculation gives -5.6211 eV per atom. The calculation puts the raw formation energy at -1.525 eV/atom.


Density of states at the Fermi level, record by record: 8.76; 1.46; 5.38; 3.17; 4.41; 3.58 states/eV/f.u.
Volume, record by record: 26.66; 25.08; 26.46; 24.04; 24.46; 24.62 Å³ per atom